Computed, not measured: crystalline V2CuSb2 at its relaxed geometry at the PBE-GGA level of DFT.

Geometry as POSCAR:
```
V2CuSb2
1.0
-6.273 3.113 0.079
-1.638 -3.149 -6.037
-1.366 -2.799 1.830
Sb Cu V
4 2 4
Cartesian
-2.785 -2.980 -3.070
-6.209 -1.976 -4.091
-6.492 0.145 -1.059
-3.068 -0.858 -0.037
0.000 0.000 0.000
-3.956 -0.018 -2.979
-3.695 -1.587 -5.185
-6.460 0.685 -3.774
-4.216 1.552 -0.773
-1.451 -0.720 -2.184
```

E_form (uncorrected) in eV per atom: 0.1418
Size of the total moment in μB/f.u.: 0.458
E above lowest polymorph in eV per atom: 0.000
D(E_F) in states/eV/f.u.: 4.98
Crystal system: tetragonal
Space group: P4/mbm, No. 127
Electronic total energy in eV/cell: -59.738

Computed, not measured: crystalline VCuSb2 at its relaxed geometry at the PBE-GGA level of DFT.

Geometry as POSCAR:
```
VCuSb2
1.0
0.000 3.400 3.400
3.400 0.000 3.400
3.400 3.400 0.000
Sb Cu V
2 1 1
Cartesian
1.700 1.700 1.700
5.100 5.100 5.100
3.400 3.400 3.400
0.000 0.000 0.000
```

E_form (uncorrected) in eV per atom: 0.3103
Size of the total moment in μB/f.u.: 2.979
E above lowest polymorph in eV per atom: 0.153
D(E_F) in states/eV/f.u.: 2.36
Crystal system: cubic
Space group: Fm-3m, No. 225
Electronic total energy in eV/cell: -20.218

Q: Which value of electronic total energy does entry 2 give?
A: -20.218 eV/cell

Copy entry 2 word for word.
Computed, not measured: crystalline VCuSb2 at its relaxed geometry at the PBE-GGA level of DFT.

Geometry as POSCAR:
```
VCuSb2
1.0
0.000 3.400 3.400
3.400 0.000 3.400
3.400 3.400 0.000
Sb Cu V
2 1 1
Cartesian
1.700 1.700 1.700
5.100 5.100 5.100
3.400 3.400 3.400
0.000 0.000 0.000
```

E_form (uncorrected) in eV per atom: 0.3103
Size of the total moment in μB/f.u.: 2.979
E above lowest polymorph in eV per atom: 0.153
D(E_F) in states/eV/f.u.: 2.36
Crystal system: cubic
Space group: Fm-3m, No. 225
Electronic total energy in eV/cell: -20.218